No. 1
Below is crystalline VPHOs2 at its relaxed geometry, with properties calculated at the PBE level.

a b c (Å): 4.322 4.322 4.330
angles (deg): 90.00 90.00 90.00
Space group P4/mmm (No. 123)
Symmetry-distinct sites (fractional):
V 0.000 0.000 0.000 (multiplicity 1)
P 0.000 0.000 0.500 (multiplicity 1)
H 0.500 0.500 0.000 (multiplicity 1)
Os 0.000 0.500 0.500 (multiplicity 2)

Output
The total energy comes out at -6.643 eV/atom. The calculation puts the size of the total moment at 0.00 μB per cell.

=====

No. 2
Below is crystalline PaH4Os at its relaxed geometry, with properties calculated at the PBE level.

a b c (Å): 4.253 4.427 6.069
angles (deg): 90.00 100.52 90.00
Space group P2_1/m (No. 11)
Symmetry-distinct sites (fractional):
Pa 0.189 0.250 0.275 (multiplicity 2)
H 0.048 0.750 0.122 (multiplicity 2)
H 0.279 0.551 0.594 (multiplicity 4)
H 0.500 0.000 0.000 (multiplicity 2)
Os 0.310 0.250 0.776 (multiplicity 2)

Output
The total energy comes out at -5.881 eV/atom. The calculation puts the size of the total moment at 0.00 μB per cell.

=====

No. 3
Below is crystalline PaH3Os at its relaxed geometry, with properties calculated at the PBE level.

a b c (Å): 3.680 3.680 3.680
angles (deg): 90.00 90.00 90.00
Space group Pm-3m (No. 221)
Symmetry-distinct sites (fractional):
Pa 0.000 0.000 0.000 (multiplicity 1)
H 0.000 0.500 0.500 (multiplicity 3)
Os 0.500 0.500 0.500 (multiplicity 1)

Output
The total energy comes out at -6.266 eV/atom. The calculation puts the size of the total moment at 0.00 μB per cell.

=====

No. 4
Below is crystalline PaHOs3 at its relaxed geometry, with properties calculated at the PBE level.

a b c (Å): 4.113 4.113 4.113
angles (deg): 90.00 90.00 90.00
Space group Pm-3m (No. 221)
Symmetry-distinct sites (fractional):
Pa 0.000 0.000 0.000 (multiplicity 1)
H 0.500 0.500 0.500 (multiplicity 1)
Os 0.000 0.500 0.500 (multiplicity 3)

Output
The total energy comes out at -9.432 eV/atom. The calculation puts the size of the total moment at 0.00 μB per cell.